Entry 1:
An optimized crystal structure of Li3In3Bi, computed with PBE.

- space-group type = No. 223
- ρ (Mg/m³) = 4.81
- total DFT energy (no corrections) (eV per atom) = -2.19
- distance to the lowest polymorph of the same formula (meV per atom) = 574
- V (Å³/cell) = 396.22

Unit cell a=7.3448 b=7.3448 c=7.3448 alpha=90.00 beta=90.00 gamma=90.00
Fractional positions:
Li 0.0000 0.2500 0.5000
Li 0.0000 0.7500 0.5000
Li 0.2500 0.5000 0.0000
Li 0.5000 0.0000 0.2500
Li 0.5000 0.0000 0.7500
Li 0.7500 0.5000 0.0000
In 0.0000 0.5000 0.2500
In 0.0000 0.5000 0.7500
In 0.2500 0.0000 0.5000
In 0.5000 0.2500 0.0000
In 0.5000 0.7500 0.0000
In 0.7500 0.0000 0.5000
Bi 0.0000 0.0000 0.0000
Bi 0.5000 0.5000 0.5000



Entry 2:
An optimized crystal structure of Tb7PmHg4, computed with PBE.

- space-group type = No. 12
- ρ (Mg/m³) = 9.84
- total DFT energy (no corrections) (eV per atom) = -3.31
- V (Å³/cell) = 347.70

Unit cell a=7.8862 b=7.8862 c=9.7979 alpha=119.95 beta=119.95 gamma=42.51
Fractional positions:
Tb 0.0000 0.0000 0.0000
Tb 0.2304 0.2304 0.6823
Tb 0.2925 0.2925 0.1157
Tb 0.4341 0.4341 0.5946
Tb 0.5659 0.5659 0.4054
Tb 0.7075 0.7075 0.8843
Tb 0.7696 0.7696 0.3177
Pm 0.5000 0.5000 0.0000
Hg 0.0462 0.0462 0.7263
Hg 0.1892 0.1892 0.3393
Hg 0.8108 0.8108 0.6607
Hg 0.9538 0.9538 0.2737